# 1
! PBE-GGA RbCd12, relaxed; values from VASP
&SYSTEM
  ibrav = 0, nat = 13, ntyp = 2
/
ATOMIC_SPECIES
Rb 85.47 Rb.upf
Cd 112.41 Cd.upf
ATOMIC_POSITIONS crystal
Rb 0.000 0.000 0.000
Cd 0.500 0.000 0.500
Cd 0.000 0.000 0.500
Cd 0.500 0.500 0.000
Cd 0.000 0.500 0.000
Cd 0.000 0.644 0.356
Cd 0.000 0.356 0.644
Cd 0.644 0.356 0.356
Cd 0.356 0.644 0.644
Cd 0.500 0.222 0.778
Cd 0.500 0.778 0.222
Cd 0.722 0.778 0.778
Cd 0.278 0.222 0.222
CELL_PARAMETERS angstrom
5.592 0.000 2.258
2.796 7.322 1.129
0.054 0.000 7.918
! N(E_F) = 0.37 states/eV per atom
! Excess energy over the best structure of this formula in the dataset = 0.0 kJ/mol of atoms
! Calculated density = 7.367 g/cm3
! Total magnetization = 0.00 μB/f.u.


# 2
! PBE-GGA Mg4In3Pt2, relaxed; values from VASP
&SYSTEM
  ibrav = 0, nat = 9, ntyp = 3
/
ATOMIC_SPECIES
Mg 24.30 Mg.upf
In 114.82 In.upf
Pt 195.08 Pt.upf
ATOMIC_POSITIONS crystal
Mg 0.211 0.660 0.422
Mg 0.789 0.340 0.578
Mg 0.580 0.852 0.160
Mg 0.420 0.148 0.840
In 0.151 0.143 0.302
In 0.849 0.857 0.698
In 0.000 0.500 0.000
Pt 0.394 0.607 0.789
Pt 0.606 0.393 0.211
CELL_PARAMETERS angstrom
-2.618 -2.694 2.571
-3.327 -1.143 -4.586
6.068 -3.907 -1.944
! VASP energy = -30.76 eV for the cell shown
! N(E_F) = 0.30 states/eV per atom
! Calculated density = 7.477 g/cm3
! Total magnetization = 0.00 μB/f.u.


# 3
! PBE-GGA Ho4TcSb, relaxed; values from VASP
&SYSTEM
  ibrav = 0, nat = 24, ntyp = 3
/
ATOMIC_SPECIES
Ho 164.93 Ho.upf
Tc 98.00 Tc.upf
Sb 121.76 Sb.upf
ATOMIC_POSITIONS crystal
Ho 0.750 0.880 0.642
Ho 0.250 0.120 0.358
Ho 0.250 0.620 0.142
Ho 0.750 0.380 0.858
Ho 0.750 0.853 0.452
Ho 0.250 0.147 0.548
Ho 0.250 0.647 0.952
Ho 0.750 0.353 0.048
Ho 0.750 0.000 0.935
Ho 0.250 0.000 0.065
Ho 0.250 0.500 0.435
Ho 0.750 0.500 0.565
Ho 0.750 0.940 0.211
Ho 0.250 0.060 0.789
Ho 0.250 0.560 0.711
Ho 0.750 0.440 0.289
Tc 0.750 0.255 0.439
Tc 0.250 0.745 0.561
Tc 0.250 0.245 0.939
Tc 0.750 0.755 0.061
Sb 0.750 0.755 0.807
Sb 0.250 0.245 0.193
Sb 0.250 0.745 0.307
Sb 0.750 0.255 0.693
CELL_PARAMETERS angstrom
4.265 0.000 0.000
0.000 7.988 0.000
0.000 0.000 18.684
! N(E_F) = 0.86 states/eV per atom
! Excess energy over the best structure of this formula in the dataset = 0.0 kJ/mol of atoms
! Calculated density = 9.178 g/cm3
! Total magnetization = 0.00 μB/f.u.
! Formation energy (no corrections) = -0.47 eV/atom


# 4
! PBE-GGA Pu3SnRh4, relaxed; values from VASP
&SYSTEM
  ibrav = 0, nat = 8, ntyp = 3
/
ATOMIC_SPECIES
Rh 102.91 Rh.upf
Sn 118.71 Sn.upf
Pu 244.00 Pu.upf
ATOMIC_POSITIONS crystal
Rh 0.381 0.381 0.762
Rh 0.619 0.619 0.238
Rh 0.119 0.119 0.238
Rh 0.881 0.881 0.762
Sn 0.500 0.000 0.000
Pu 0.000 0.500 0.000
Pu 0.744 0.244 0.489
Pu 0.256 0.756 0.511
CELL_PARAMETERS angstrom
-4.602 1.133 0.290
-0.354 -2.472 4.039
4.097 6.327 1.441
! VASP energy = -79.71 eV for the cell shown
! N(E_F) = 3.93 states/eV per atom
! Calculated density = 13.471 g/cm3
! Total magnetization = 5.55 μB/f.u.


# 5
! PBE-GGA MgPO2F, relaxed; values from VASP
&SYSTEM
  ibrav = 0, nat = 5, ntyp = 4
/
ATOMIC_SPECIES
P 30.97 P.upf
Mg 24.30 Mg.upf
O 16.00 O.upf
F 19.00 F.upf
ATOMIC_POSITIONS crystal
P 0.000 0.000 0.500
Mg 0.000 0.000 0.000
O 0.000 0.500 0.000
O 0.500 0.000 0.000
F 0.500 0.500 0.500
CELL_PARAMETERS angstrom
-1.263 2.162 -2.786
-2.886 1.066 2.136
3.128 4.427 2.018
! N(E_F) = 0.48 states/eV per atom
! Calculated density = 2.175 g/cm3
! Total magnetization = 3.09 μB/f.u.
! Formation energy (no corrections) = -0.15 eV/atom


# 6
! PBE-GGA TbPr5Al3, relaxed; values from VASP
&SYSTEM
  ibrav = 0, nat = 18, ntyp = 3
/
ATOMIC_SPECIES
Tb 158.93 Tb.upf
Pr 140.91 Pr.upf
Al 26.98 Al.upf
ATOMIC_POSITIONS crystal
Tb 0.000 0.000 0.000
Tb 0.500 0.000 0.000
Pr 0.000 0.656 0.311
Pr 0.500 0.344 0.689
Pr 0.000 0.344 0.689
Pr 0.500 0.656 0.311
Pr 0.750 0.667 0.661
Pr 0.750 0.006 0.339
Pr 0.750 0.328 0.000
Pr 0.250 0.333 0.339
Pr 0.250 0.994 0.661
Pr 0.250 0.672 0.000
Al 0.750 0.330 0.329
Al 0.750 0.001 0.671
Al 0.750 0.672 0.000
Al 0.250 0.670 0.671
Al 0.250 0.999 0.329
Al 0.250 0.328 0.000
CELL_PARAMETERS angstrom
-3.400 -3.021 5.169
6.922 -6.210 0.924
0.247 8.029 4.855
! VASP energy = -83.52 eV for the cell shown
! N(E_F) = 1.14 states/eV per atom
! Calculated density = 5.988 g/cm3
! Total magnetization = 0.00 μB/f.u.


# 7
! PBE-GGA Nd2In9Sn, relaxed; values from VASP
&SYSTEM
  ibrav = 0, nat = 12, ntyp = 3
/
ATOMIC_SPECIES
Nd 144.24 Nd.upf
In 114.82 In.upf
Sn 118.71 Sn.upf
ATOMIC_POSITIONS crystal
Nd 0.000 0.000 0.337
Nd 0.000 0.000 0.663
In 0.500 0.500 0.000
In 0.500 0.500 0.337
In 0.500 0.500 0.663
In 0.500 0.000 0.167
In 0.500 0.000 0.500
In 0.500 0.000 0.833
In 0.000 0.500 0.167
In 0.000 0.500 0.500
In 0.000 0.500 0.833
Sn 0.000 0.000 0.000
CELL_PARAMETERS angstrom
-2.833 3.035 2.235
1.842 -1.325 4.134
10.029 10.236 -1.187
! VASP energy = -41.36 eV for the cell shown
! N(E_F) = 0.54 states/eV per atom
! Calculated density = 7.482 g/cm3
! Total magnetization = 0.00 μB/f.u.


# 8
! PBE-GGA ScB3Os3, relaxed; values from VASP
&SYSTEM
  ibrav = 0, nat = 14, ntyp = 3
/
ATOMIC_SPECIES
Sc 44.96 Sc.upf
B 10.81 B.upf
Os 190.23 Os.upf
ATOMIC_POSITIONS crystal
Sc 0.500 0.500 0.500
Sc 0.000 0.000 0.000
B 0.250 0.000 0.500
B 0.000 0.500 0.250
B 0.500 0.750 0.000
B 0.750 0.000 0.500
B 0.000 0.500 0.750
B 0.500 0.250 0.000
Os 0.000 0.250 0.500
Os 0.000 0.750 0.500
Os 0.500 0.000 0.750
Os 0.750 0.500 0.000
Os 0.500 0.000 0.250
Os 0.250 0.500 0.000
CELL_PARAMETERS angstrom
-3.976 -3.862 -1.764
-0.993 -1.503 5.531
-4.128 4.082 0.368
! VASP energy = -117.95 eV for the cell shown
! N(E_F) = 1.35 states/eV per atom
! Calculated density = 10.936 g/cm3
! Total magnetization = 0.11 μB/f.u.


# 9
! PBE-GGA Zr6TiIn, relaxed; values from VASP
&SYSTEM
  ibrav = 0, nat = 8, ntyp = 3
/
ATOMIC_SPECIES
Zr 91.22 Zr.upf
Ti 47.87 Ti.upf
In 114.82 In.upf
ATOMIC_POSITIONS crystal
Zr 0.500 0.500 0.000
Zr 0.500 0.500 0.500
Zr 0.500 0.000 0.257
Zr 0.500 0.000 0.743
Zr 0.000 0.500 0.257
Zr 0.000 0.500 0.743
Ti 0.000 0.000 0.500
In 0.000 0.000 0.000
CELL_PARAMETERS angstrom
4.435 0.000 0.000
0.000 4.435 0.000
0.000 0.000 9.037
! VASP energy = -62.61 eV for the cell shown
! N(E_F) = 1.26 states/eV per atom
! Calculated density = 6.634 g/cm3
! Total magnetization = 0.00 μB/f.u.


# 10
! PBE-GGA Na2BiRh2, relaxed; values from VASP
&SYSTEM
  ibrav = 0, nat = 10, ntyp = 3
/
ATOMIC_SPECIES
Na 22.99 Na.upf
Rh 102.91 Rh.upf
Bi 208.98 Bi.upf
ATOMIC_POSITIONS crystal
Na 0.166 0.666 0.500
Na 0.666 0.834 0.500
Na 0.834 0.334 0.500
Na 0.334 0.166 0.500
Rh 0.366 0.866 0.000
Rh 0.866 0.634 0.000
Rh 0.634 0.134 0.000
Rh 0.134 0.366 0.000
Bi 0.000 0.000 0.000
Bi 0.500 0.500 0.000
CELL_PARAMETERS angstrom
6.706 0.000 0.000
0.000 6.706 0.000
0.000 0.000 4.961
! VASP energy = -42.40 eV for the cell shown
! N(E_F) = 0.46 states/eV per atom
! Calculated density = 6.860 g/cm3
! Total magnetization = 0.00 μB/f.u.


# 11
! PBE-GGA Y3Tm12Sc, relaxed; values from VASP
&SYSTEM
  ibrav = 0, nat = 16, ntyp = 3
/
ATOMIC_SPECIES
Y 88.91 Y.upf
Tm 168.93 Tm.upf
Sc 44.96 Sc.upf
ATOMIC_POSITIONS crystal
Y 0.000 0.000 0.248
Y 0.000 0.000 0.500
Y 0.000 0.000 0.752
Tm 0.500 0.500 0.000
Tm 0.500 0.500 0.247
Tm 0.500 0.500 0.500
Tm 0.500 0.500 0.753
Tm 0.500 0.000 0.121
Tm 0.500 0.000 0.374
Tm 0.500 0.000 0.626
Tm 0.500 0.000 0.879
Tm 0.000 0.500 0.121
Tm 0.000 0.500 0.374
Tm 0.000 0.500 0.626
Tm 0.000 0.500 0.879
Sc 0.000 0.000 0.000
CELL_PARAMETERS angstrom
-2.382 0.631 4.278
0.336 -4.842 0.902
17.226 2.902 9.165
! VASP energy = -78.84 eV for the cell shown
! N(E_F) = 1.47 states/eV per atom
! Calculated density = 8.078 g/cm3
! Total magnetization = 0.00 μB/f.u.


# 12
! PBE-GGA Be2CrFe, relaxed; values from VASP
&SYSTEM
  ibrav = 0, nat = 4, ntyp = 3
/
ATOMIC_SPECIES
Cr 52.00 Cr.upf
Fe 55.84 Fe.upf
Be 9.01 Be.upf
ATOMIC_POSITIONS crystal
Cr 0.500 0.000 0.500
Fe 0.000 0.500 0.500
Be 0.000 0.000 0.000
Be 0.500 0.500 0.000
CELL_PARAMETERS angstrom
3.951 0.000 0.000
0.000 3.951 0.000
0.000 0.000 2.453
! N(E_F) = 0.53 states/eV per atom
! Excess energy over the best structure of this formula in the dataset = 16.5 kJ/mol of atoms
! Calculated density = 5.459 g/cm3
! Total magnetization = 2.38 μB/f.u.


# 13
! PBE-GGA LaDyGaNi, relaxed; values from VASP
&SYSTEM
  ibrav = 0, nat = 4, ntyp = 4
/
ATOMIC_SPECIES
Ni 58.69 Ni.upf
La 138.91 La.upf
Ga 69.72 Ga.upf
Dy 162.50 Dy.upf
ATOMIC_POSITIONS crystal
Ni 0.250 0.250 0.250
La 0.500 0.500 0.500
Ga 0.750 0.750 0.750
Dy 0.000 0.000 0.000
CELL_PARAMETERS angstrom
5.076 0.000 0.000
2.538 4.396 0.000
2.538 1.465 4.145
! VASP energy = -19.83 eV for the cell shown
! N(E_F) = 0.96 states/eV per atom
! Calculated density = 7.716 g/cm3
! Total magnetization = 0.00 μB/f.u.


# 14
! PBE-GGA TmLuCu4, relaxed; values from VASP
&SYSTEM
  ibrav = 0, nat = 6, ntyp = 3
/
ATOMIC_SPECIES
Lu 174.97 Lu.upf
Tm 168.93 Tm.upf
Cu 63.55 Cu.upf
ATOMIC_POSITIONS crystal
Lu 0.250 0.250 0.250
Tm 0.000 0.000 0.000
Cu 0.625 0.625 0.126
Cu 0.625 0.126 0.625
Cu 0.625 0.625 0.625
Cu 0.126 0.625 0.625
CELL_PARAMETERS angstrom
-2.387 -4.024 -2.267
-0.839 -4.373 2.684
-4.832 -1.292 1.419
! VASP energy = -26.70 eV for the cell shown
! N(E_F) = 0.98 states/eV per atom
! Calculated density = 9.996 g/cm3
! Total magnetization = 0.00 μB/f.u.


# 15
! PBE-GGA LiLaTbNd, relaxed; values from VASP
&SYSTEM
  ibrav = 0, nat = 4, ntyp = 4
/
ATOMIC_SPECIES
Nd 144.24 Nd.upf
Li 6.94 Li.upf
Tb 158.93 Tb.upf
La 138.91 La.upf
ATOMIC_POSITIONS crystal
Nd 0.750 0.750 0.750
Li 0.000 0.000 0.000
Tb 0.500 0.500 0.500
La 0.250 0.250 0.250
CELL_PARAMETERS angstrom
-0.737 4.933 2.637
-3.065 4.067 -2.429
-5.062 1.351 2.096
! VASP energy = -15.61 eV for the cell shown
! N(E_F) = 1.21 states/eV per atom
! Calculated density = 5.870 g/cm3
! Total magnetization = 0.00 μB/f.u.


# 16
! PBE-GGA K2PaBS5, relaxed; values from VASP
&SYSTEM
  ibrav = 0, nat = 18, ntyp = 4
/
ATOMIC_SPECIES
K 39.10 K.upf
Pa 231.04 Pa.upf
B 10.81 B.upf
S 32.06 S.upf
ATOMIC_POSITIONS crystal
K 0.884 0.768 0.850
K 0.110 0.220 0.666
K 0.116 0.232 0.350
K 0.890 0.780 0.166
Pa 0.814 0.629 0.540
Pa 0.186 0.371 0.040
B 0.577 0.153 0.898
B 0.423 0.847 0.398
S 0.323 0.646 0.012
S 0.680 0.359 0.901
S 0.516 0.032 0.799
S 0.315 0.630 0.664
S 0.954 0.909 0.493
S 0.677 0.354 0.512
S 0.320 0.641 0.401
S 0.484 0.968 0.299
S 0.685 0.370 0.164
S 0.046 0.091 0.993
CELL_PARAMETERS angstrom
4.048 0.000 0.000
-2.024 8.924 0.000
0.000 0.000 13.870
! Calculated density = 3.184 g/cm3
! Total magnetization = 0.00 μB/f.u.
! Formation energy (no corrections) = -1.11 eV/atom


# 17
! PBE-GGA PrSm6Cd2, relaxed; values from VASP
&SYSTEM
  ibrav = 0, nat = 18, ntyp = 3
/
ATOMIC_SPECIES
Pr 140.91 Pr.upf
Sm 150.36 Sm.upf
Cd 112.41 Cd.upf
ATOMIC_POSITIONS crystal
Pr 0.250 0.106 0.894
Pr 0.750 0.894 0.106
Sm 0.491 0.678 0.436
Sm 0.009 0.564 0.322
Sm 0.509 0.322 0.564
Sm 0.991 0.436 0.678
Sm 0.665 0.101 0.353
Sm 0.835 0.647 0.899
Sm 0.335 0.899 0.647
Sm 0.165 0.353 0.101
Sm 0.309 0.731 0.030
Sm 0.191 0.970 0.269
Sm 0.691 0.269 0.970
Sm 0.809 0.030 0.731
Cd 0.406 0.538 0.790
Cd 0.094 0.210 0.462
Cd 0.594 0.462 0.210
Cd 0.906 0.790 0.538
CELL_PARAMETERS angstrom
-3.792 3.885 2.967
3.390 -2.148 8.917
6.958 6.541 2.101
! N(E_F) = 1.29 states/eV per atom
! Excess energy over the best structure of this formula in the dataset = 6.6 kJ/mol of atoms
! Calculated density = 7.495 g/cm3
! Total magnetization = 0.00 μB/f.u.


# 18
! PBE-GGA PuIn12Hg6, relaxed; values from VASP
&SYSTEM
  ibrav = 0, nat = 19, ntyp = 3
/
ATOMIC_SPECIES
Pu 244.00 Pu.upf
In 114.82 In.upf
Hg 200.59 Hg.upf
ATOMIC_POSITIONS crystal
Pu 0.000 0.000 0.000
In 0.818 0.482 0.374
In 0.374 0.818 0.482
In 0.482 0.374 0.818
In 0.182 0.518 0.626
In 0.626 0.182 0.518
In 0.518 0.626 0.182
In 0.956 0.719 0.196
In 0.281 0.804 0.044
In 0.804 0.044 0.281
In 0.044 0.281 0.804
In 0.719 0.196 0.956
In 0.196 0.956 0.719
Hg 0.776 0.849 0.574
Hg 0.426 0.224 0.151
Hg 0.151 0.426 0.224
Hg 0.224 0.151 0.426
Hg 0.574 0.776 0.849
Hg 0.849 0.574 0.776
CELL_PARAMETERS angstrom
-2.201 1.887 -8.004
7.427 -4.145 -0.370
-5.784 -5.511 2.941
! N(E_F) = 0.81 states/eV per atom
! Excess energy over the best structure of this formula in the dataset = 0.0 kJ/mol of atoms
! Calculated density = 9.134 g/cm3
! Total magnetization = 5.92 μB/f.u.


# 19
! PBE-GGA Mg3Cd3Pd, relaxed; values from VASP
&SYSTEM
  ibrav = 0, nat = 14, ntyp = 3
/
ATOMIC_SPECIES
Mg 24.30 Mg.upf
Cd 112.41 Cd.upf
Pd 106.42 Pd.upf
ATOMIC_POSITIONS crystal
Mg 0.992 0.992 0.785
Mg 0.471 0.045 0.225
Mg 0.045 0.471 0.225
Mg 0.529 0.955 0.775
Mg 0.955 0.529 0.775
Mg 0.008 0.008 0.215
Cd 0.241 0.241 0.547
Cd 0.288 0.712 0.500
Cd 0.712 0.288 0.500
Cd 0.322 0.678 0.000
Cd 0.678 0.322 0.000
Cd 0.759 0.759 0.453
Pd 0.237 0.237 0.952
Pd 0.763 0.763 0.048
CELL_PARAMETERS angstrom
6.330 0.482 -0.045
0.497 6.329 -0.045
-0.048 -0.047 7.440
! VASP energy = -28.35 eV for the cell shown
! N(E_F) = 0.48 states/eV per atom
! Calculated density = 5.790 g/cm3
! Total magnetization = 0.00 μB/f.u.


# 20
! PBE-GGA K2ErAlS4, relaxed; values from VASP
&SYSTEM
  ibrav = 0, nat = 16, ntyp = 4
/
ATOMIC_SPECIES
K 39.10 K.upf
Er 167.26 Er.upf
Al 26.98 Al.upf
S 32.06 S.upf
ATOMIC_POSITIONS crystal
K 0.500 0.000 0.000
K 0.500 0.000 0.500
K 0.000 0.000 0.500
K 0.500 0.500 0.000
Er 0.000 0.500 0.000
Er 0.000 0.500 0.500
Al 0.500 0.500 0.500
Al 0.000 0.000 0.000
S 0.201 0.752 0.977
S 0.748 0.299 0.523
S 0.252 0.701 0.477
S 0.799 0.248 0.023
S 0.760 0.740 0.950
S 0.760 0.740 0.550
S 0.240 0.260 0.450
S 0.240 0.260 0.050
CELL_PARAMETERS angstrom
8.068 -0.018 -0.190
-0.023 8.068 -0.190
-4.083 -4.086 5.884
! Calculated density = 3.592 g/cm3
! Total magnetization = 0.00 μB/f.u.
! Formation energy (no corrections) = -1.39 eV/atom


# 21
! PBE-GGA ZnCuPd2, relaxed; values from VASP
&SYSTEM
  ibrav = 0, nat = 4, ntyp = 3
/
ATOMIC_SPECIES
Zn 65.41 Zn.upf
Cu 63.55 Cu.upf
Pd 106.42 Pd.upf
ATOMIC_POSITIONS crystal
Zn 0.667 0.667 0.000
Cu 0.500 0.500 0.500
Pd 0.082 0.082 0.753
Pd 0.251 0.251 0.247
CELL_PARAMETERS angstrom
2.822 0.000 0.000
1.411 2.444 0.000
1.411 0.815 8.363
! VASP energy = -16.73 eV for the cell shown
! N(E_F) = 0.29 states/eV per atom
! Calculated density = 9.843 g/cm3
! Total magnetization = 0.00 μB/f.u.